Record 1
VASP calculation (PBE) on a relaxed structure of Pr3SmTl.

Output
E above lowest polymorph = 0.0000 eV per atom
energy of formation = -4.6 kJ/mol of atoms
uncorrected energy = -4.33 eV/atom
density of states at the Fermi level = 6.4 states/eV per cell

Cell: 6.387 6.387 6.904 Å, 122.72 122.72 94.40°
Element x y z (fractional)
Pr (0.595, 0.204, 0.302)
Pr (0.204, 0.595, 0.302)
Pr (0.899, 0.899, 0.020)
Sm (0.399, 0.399, 0.806)
Tl (0.899, 0.899, 0.564)

Record 2
VASP calculation (PBE) on a relaxed structure of La8Ni2Os.

Output
energy of formation = -15.0 kJ/mol of atoms
uncorrected energy = -5.81 eV/atom
density of states at the Fermi level = 11.2 states/eV per cell

Cell: 4.022 9.066 9.795 Å, 93.15 101.85 90.00°
Element x y z (fractional)
La (0.601, 0.547, 0.203)
La (0.350, 0.035, 0.700)
La (0.226, 0.333, 0.451)
La (0.987, 0.788, 0.974)
La (0.774, 0.667, 0.549)
La (0.650, 0.965, 0.300)
La (0.399, 0.453, 0.797)
La (0.013, 0.212, 0.026)
Ni (0.168, 0.727, 0.337)
Ni (0.832, 0.273, 0.663)
Os (0.500, 0.000, 0.000)

Record 3
VASP calculation (PBE) on a relaxed structure of Sr3TbPr3S8.

Output
uncorrected energy = -5.88 eV/atom
density of states at the Fermi level = 4.9 states/eV per cell

Cell: 8.252 8.252 8.413 Å, 119.37 90.00 120.00°
Element x y z (fractional)
Sr (0.000, 0.000, 0.000)
Sr (0.000, 0.500, 0.000)
Sr (0.500, 0.500, 0.000)
Tb (0.000, 0.000, 0.500)
Pr (0.500, 0.000, 0.500)
Pr (0.500, 0.500, 0.500)
Pr (0.000, 0.500, 0.500)
S (0.252, 0.505, 0.257)
S (0.748, 0.495, 0.743)
S (0.763, 0.527, 0.271)
S (0.237, 0.473, 0.729)
S (0.763, 0.008, 0.271)
S (0.237, 0.992, 0.729)
S (0.244, 0.008, 0.271)
S (0.756, 0.992, 0.729)

Record 4
VASP calculation (PBE) on a relaxed structure of FeCuTeAsOs.

Output
E above lowest polymorph = 0.1583 eV per atom
uncorrected energy = -6.04 eV/atom
density of states at the Fermi level = 7.2 states/eV per cell

Cell: 7.363 3.809 6.911 Å, 90.00 113.82 90.00°
Element x y z (fractional)
As (0.228, 0.000, 0.879)
As (0.228, 0.500, 0.379)
Te (0.773, 0.000, 0.282)
Te (0.773, 0.500, 0.782)
Os (0.485, 0.000, 0.636)
Os (0.485, 0.500, 0.136)
Fe (0.376, 0.000, 0.273)
Fe (0.376, 0.500, 0.773)
Cu (0.002, 0.000, 0.074)
Cu (0.002, 0.500, 0.574)

Record 5
VASP calculation (PBE) on a relaxed structure of AsPRh2.

Output
E above lowest polymorph = 0.3138 eV per atom
energy of formation = -12.3 kJ/mol of atoms
uncorrected energy = -6.32 eV/atom
density of states at the Fermi level = 3.4 states/eV per cell

Cell: 4.623 4.623 4.623 Å, 133.07 119.04 80.31°
Element x y z (fractional)
As (0.750, 0.250, 0.500)
P (0.250, 0.750, 0.500)
Rh (0.049, 0.049, 0.000)
Rh (0.451, 0.451, 0.000)

Record 6
VASP calculation (PBE) on a relaxed structure of Sm4TlGaAg2.

Output
energy of formation = -36.3 kJ/mol of atoms
uncorrected energy = -4.12 eV/atom
density of states at the Fermi level = 7.2 states/eV per cell

Cell: 5.292 5.292 9.177 Å, 73.24 73.24 60.00°
Site moments in Bohr magnetons follow the coordinates.
Element x y z (fractional)
Sm (0.379, 0.379, 0.862)  0.05
Sm (0.871, 0.871, 0.388)  0.09
Sm (0.129, 0.129, 0.612)  0.09
Sm (0.621, 0.621, 0.138)  0.05
Tl (0.000, 0.000, 0.000)  0.00
Ga (0.500, 0.500, 0.500)  -0.01
Ag (0.747, 0.747, 0.759)  0.01
Ag (0.253, 0.253, 0.241)  0.01

Record 7
VASP calculation (PBE) on a relaxed structure of AcZnInRh3.

Output
energy of formation = -23.9 kJ/mol of atoms
uncorrected energy = -5.28 eV/atom
density of states at the Fermi level = 17.8 states/eV per cell

Cell: 6.499 6.103 6.960 Å, 116.00 90.00 90.00°
Element x y z (fractional)
Ac (0.750, 0.318, 0.636)
Ac (0.250, 0.682, 0.364)
Zn (0.250, 0.930, 0.860)
Zn (0.750, 0.070, 0.140)
In (0.250, 0.360, 0.720)
In (0.750, 0.640, 0.280)
Rh (0.250, 0.146, 0.291)
Rh (0.000, 0.269, 0.000)
Rh (0.500, 0.731, 0.000)
Rh (0.500, 0.269, 0.000)
Rh (0.000, 0.731, 0.000)
Rh (0.750, 0.854, 0.709)

Record 8
VASP calculation (PBE) on a relaxed structure of DyTm3Ag2.

Output
E above lowest polymorph = 0.0000 eV per atom
energy of formation = -20.2 kJ/mol of atoms
uncorrected energy = -4.16 eV/atom
density of states at the Fermi level = 5.7 states/eV per cell

Cell: 3.572 3.572 12.132 Å, 90.00 90.00 90.00°
Element x y z (fractional)
Dy (0.500, 0.500, 0.500)
Tm (0.000, 0.000, 0.000)
Tm (0.000, 0.000, 0.702)
Tm (0.000, 0.000, 0.298)
Ag (0.500, 0.500, 0.851)
Ag (0.500, 0.500, 0.149)

Record 9
VASP calculation (PBE) on a relaxed structure of BeTcAu2.

Output
energy of formation = 29.1 kJ/mol of atoms
uncorrected energy = -4.86 eV/atom
density of states at the Fermi level = 3.5 states/eV per cell

Cell: 4.072 2.756 5.570 Å, 74.00 90.00 90.00°
Element x y z (fractional)
Be (0.500, 0.250, 0.250)
Au (0.000, 0.108, 0.015)
Au (0.000, 0.392, 0.485)
Tc (0.500, 0.750, 0.750)

Record 10
VASP calculation (PBE) on a relaxed structure of Pm2InSn3Pt4.

Output
energy of formation = -78.8 kJ/mol of atoms
uncorrected energy = -5.66 eV/atom
density of states at the Fermi level = 5.3 states/eV per cell

Cell: 4.566 4.566 10.822 Å, 90.00 90.00 90.00°
Element x y z (fractional)
Pm (0.500, 0.000, 0.242)
Pm (0.000, 0.500, 0.758)
In (0.500, 0.500, 0.500)
Sn (0.000, 0.000, 0.500)
Sn (0.500, 0.000, 0.873)
Sn (0.000, 0.500, 0.127)
Pt (0.500, 0.500, 0.000)
Pt (0.000, 0.000, 0.000)
Pt (0.500, 0.000, 0.635)
Pt (0.000, 0.500, 0.365)

Record 11
VASP calculation (PBE) on a relaxed structure of CsKWBr6.

Output
uncorrected energy = -3.77 eV/atom
density of states at the Fermi level = 18.1 states/eV per cell

Cell: 8.400 8.400 11.646 Å, 90.00 90.00 120.00°
Site moments in Bohr magnetons follow the coordinates.
Element x y z (fractional)
Cs (0.333, 0.667, 0.250)  0.00
Cs (0.667, 0.333, 0.750)  0.00
K (0.000, 0.000, 0.000)  0.00
K (0.000, 0.000, 0.500)  0.00
W (0.667, 0.333, 0.250)  1.53
W (0.333, 0.667, 0.750)  1.53
Br (0.681, 0.587, 0.121)  0.01
Br (0.907, 0.319, 0.121)  0.01
Br (0.319, 0.907, 0.621)  0.01
Br (0.093, 0.681, 0.879)  0.01
Br (0.413, 0.319, 0.379)  0.01
Br (0.907, 0.587, 0.379)  0.01
Br (0.587, 0.907, 0.879)  0.01
Br (0.681, 0.093, 0.379)  0.01
Br (0.093, 0.413, 0.621)  0.01
Br (0.413, 0.093, 0.121)  0.01
Br (0.587, 0.681, 0.621)  0.01
Br (0.319, 0.413, 0.879)  0.01

Record 12
VASP calculation (PBE) on a relaxed structure of TbSi3Rh.

Output
uncorrected energy = -6.43 eV/atom
density of states at the Fermi level = 1.9 states/eV per cell

Cell: 5.732 5.732 5.732 Å, 137.31 137.31 61.96°
Element x y z (fractional)
Tb (0.997, 0.997, 0.000)
Si (0.415, 0.415, 0.000)
Si (0.265, 0.765, 0.500)
Si (0.765, 0.265, 0.500)
Rh (0.652, 0.652, 0.000)